Entry 1:
A relaxed PmMg4Zn2 crystal, computed with PBE-GGA.

Results
E_tot   -14.868 eV/cell
DOS(E_F)   0.509 states/eV/atom
Polymorph energy (0 for the lowest one)   0 meV per atom
ΔH_f (0 K)   -115 kJ/mol of formula units
Calculated density   3969 kg/m³
Space-group type   Cmmm

Lattice parameters (Å, degrees): 8.619 8.619 4.286 90.00 90.00 150.65
Element x y z (fractional)
Pm: 0.000 0.000 0.000
Mg: 0.176 0.824 0.500
Mg: 0.321 0.679 0.000
Mg: 0.679 0.321 0.000
Mg: 0.824 0.176 0.500
Zn: 0.427 0.573 0.500
Zn: 0.573 0.427 0.500

***

Entry 2:
A relaxed La2AlTl crystal, computed with PBE-GGA.

Results
E_tot   -32.119 eV/cell
DOS(E_F)   1.142 states/eV/atom
ΔH_f (0 K)   -9 kJ/mol of formula units
Calculated density   6769 kg/m³
Space-group type   I-42d

Lattice parameters (Å, degrees): 7.008 7.008 7.008 102.24 102.24 125.16
Element x y z (fractional)
La: 0.114 0.625 0.989
La: 0.375 0.364 0.489
La: 0.636 0.125 0.011
La: 0.875 0.886 0.511
Al: 0.000 0.000 0.000
Al: 0.750 0.250 0.500
Tl: 0.250 0.750 0.500
Tl: 0.500 0.500 0.000